Entry from Alexandria: a relaxed Nd4Ni3Ru crystal (GGA-PBE).

**Energy of formation**: -0.276 eV per atom

Unit cell a=3.9806 b=4.1402 c=10.8610 alpha=90.00 beta=90.00 gamma=90.00
With the nearest neighbours (Å) after each atom.
Element x y z (fractional)
Nd 0.0000 0.0000 0.0000  5 Ni 2.95-3.20, 2 Ru 3.03
Nd 0.0000 0.5000 0.2792  4 Ru 2.97, 3 Ni 3.09-3.21
Nd 0.5000 0.0000 0.4954  6 Ni 3.00-3.03, 1 Ru 3.10
Nd 0.5000 0.5000 0.7769  7 Ni 2.96-3.09
Ni 0.0000 0.0000 0.7055  2 Ni 2.51
Ni 0.0000 0.5000 0.5751  2 Ni 2.51
Ni 0.5000 0.5000 0.0618  2 Ru 2.62
Ru 0.5000 0.0000 0.2102  2 Ni 2.62

---

Entry from Alexandria: a relaxed CuIr2Br crystal (GGA-PBE).

**Energy above the lowest structure with this stoichiometry**: 0.395 eV per atom
**ΔE_f (raw)**: 844.9 meV/atom

Unit cell a=5.5513 b=5.5513 c=5.5513 alpha=150.31 beta=130.72 gamma=58.59
With the nearest neighbours (Å) after each atom.
Element x y z (fractional)
Cu 0.0000 0.0000 0.0000  6 Ir 2.72-2.79, 2 Cu 2.84
Ir 0.2484 0.7484 0.5000  4 Ir 2.65-2.84, 4 Br 2.74, 2 Cu 2.79
Ir 0.4790 0.4790 0.0000  4 Ir 2.65-2.84, 2 Br 2.65, 4 Cu 2.72
Br 0.7104 0.2104 0.5000  6 Ir 2.65-2.74, 2 Br 2.84

---

Entry from Alexandria: a relaxed AsPbSe2 crystal (GGA-PBE).

**Energy above the lowest structure with this stoichiometry**: 0.285 eV per atom
**ΔE_f (raw)**: 91.8 meV/atom

Unit cell a=8.9200 b=8.9200 c=8.9200 alpha=26.60 beta=26.60 gamma=26.60
With the nearest neighbours (Å) after each atom.
Element x y z (fractional)
As 0.0000 0.0000 0.0000  2 Se 2.47
Pb 0.5000 0.5000 0.5000  6 Se 2.99
Se 0.0958 0.0958 0.0958  1 As 2.47
Se 0.9042 0.9042 0.9042  1 As 2.47